1.
8
Lattice="-2.7906 -2.6851 7.6980 -1.0936 -4.9710 -6.9534 6.2758 -3.0667 1.2054" Properties=species:S:1:pos:R:3 comment="BaSr3 | Alexandria via LeMat-Bulk | PBE | optimized geometry" ef_kj_per_mol_atoms=1 dft_energy_ev_per_fu=-6.94 magnetic_moment_mub_per_atom=0.00 spacegroup="No. 194" pbc="T T T"
Ba 3.0477 -6.5090 -1.1656
Ba -0.6559 -4.2137 3.1155
Sr 0.7413 -2.8663 -0.7311
Sr -1.2053 -6.7032 -0.3579
Sr 0.1932 -5.3575 -4.2158
Sr 1.6504 -7.8564 2.6810
Sr 3.5970 -4.0196 2.3079
Sr 2.1985 -5.3652 6.1657

2.
12
Lattice="6.3233 0.0000 0.0000 0.0000 8.7862 0.0000 0.0000 0.0000 13.1757" Properties=species:S:1:pos:R:3 comment="Ba2Sr | Alexandria via LeMat-Bulk | PBE | optimized geometry" ef_kj_per_mol_atoms=1 dft_energy_ev_per_fu=-5.48 magnetic_moment_mub_per_atom=0.00 spacegroup="No. 62" pbc="T T T"
Ba 1.5808 1.0720 9.8956
Ba 4.7425 3.3211 3.3077
Ba 1.5808 5.4651 9.8680
Ba 4.7425 7.7142 3.2801
Ba 1.5808 1.1303 5.4886
Ba 4.7425 3.2628 12.0765
Ba 1.5808 5.5234 1.0992
Ba 4.7425 7.6559 7.6871
Sr 1.5808 5.4991 5.5047
Sr 4.7425 7.6802 12.0926
Sr 1.5808 1.1060 1.0831
Sr 4.7425 3.2871 7.6710

3.
6
Lattice="-0.5573 -3.5793 -2.6307 2.5156 -2.4395 2.7862 -15.3264 -4.7362 9.6912" Properties=species:S:1:pos:R:3 comment="Ba5Sr | Alexandria via LeMat-Bulk | PBE | optimized geometry" ef_kj_per_mol_atoms=2 dft_energy_ev_per_fu=-11.20 magnetic_moment_mub_per_atom=0.00 spacegroup="No. 123" pbc="T T T"
Ba -12.8857 -3.9819 8.1478
Ba -2.4408 -0.7543 1.5433
Ba -9.3008 -6.1861 6.5780
Ba -4.0673 -4.5689 3.2687
Ba -7.6632 -2.3681 4.8456
Sr 0.9791 -3.0094 0.0778

4.
6
Lattice="6.6558 0.0000 -2.3162 0.0000 7.0507 0.0000 -0.8796 0.0000 8.1937" Properties=species:S:1:pos:R:3 comment="Ba5Sr | Alexandria via LeMat-Bulk | PBE | optimized geometry" ef_kj_per_mol_atoms=0 dft_energy_ev_per_fu=-11.28 magnetic_moment_mub_per_atom=0.00 spacegroup="No. 65" pbc="T T T"
Ba 4.8307 3.5253 3.1604
Ba 3.9958 0.0000 0.7611
Ba 2.3124 3.5253 6.6450
Ba 1.5079 0.0000 4.3332
Ba 0.6734 3.5253 1.9351
Sr 5.6408 0.0000 5.4882

5.
4
Lattice="-1.1139 -6.5588 -2.2176 4.0049 -0.1637 -1.5274 3.8931 -2.8890 6.5893" Properties=species:S:1:pos:R:3 comment="Ba3Sr | Alexandria via LeMat-Bulk | PBE | optimized geometry" ef_kj_per_mol_atoms=0 dft_energy_ev_per_fu=-7.45 magnetic_moment_mub_per_atom=0.00 spacegroup="No. 10" pbc="T T T"
Sr 1.4176 -4.0426 0.1567
Ba 4.0103 -0.1692 -1.5139
Ba 5.3666 -5.5690 2.6877
Ba 3.9436 -1.5209 2.5176

6.
13
Lattice="-6.6993 4.3250 0.6222 -7.1299 -3.5295 -0.8248 -4.9665 -2.3262 14.1056" Properties=species:S:1:pos:R:3 comment="Ba6Sr7 | Alexandria via LeMat-Bulk | PBE | optimized geometry" ef_kj_per_mol_atoms=4 dft_energy_ev_per_fu=-22.77 magnetic_moment_mub_per_atom=0.05 spacegroup="No. 166" pbc="T T T"
Ba -14.0073 -0.4987 6.8755
Ba -4.7883 -1.0321 7.0275
Ba -9.2373 0.4008 0.5732
Ba -9.5584 -1.9316 13.3298
Ba -9.3475 -0.3999 4.9529
Ba -9.4481 -1.1308 8.9501
Sr 0.0000 0.0000 0.0000
Sr -12.8501 0.6908 11.0682
Sr -13.0642 -3.2154 10.3486
Sr -16.3959 -1.0645 10.6580
Sr -2.3998 -0.4662 3.2450
Sr -5.9456 -2.2215 2.8348
Sr -5.7314 1.6847 3.5544

7.
7
Lattice="-4.6749 7.1863 2.9953 -1.8545 -7.2032 5.2099 8.8927 1.8014 0.3796" Properties=species:S:1:pos:R:3 comment="BaSr6 | Alexandria via LeMat-Bulk | PBE | optimized geometry" ef_kj_per_mol_atoms=82 dft_energy_ev_per_fu=-6.04 magnetic_moment_mub_per_atom=0.00 spacegroup="No. 229" pbc="T T T"
Ba 0.0000 0.0000 0.0000
Sr 1.8867 -2.7051 4.8461
Sr -1.5052 -1.3589 5.5000
Sr 4.5735 -0.4540 3.6385
Sr 0.4766 4.4896 3.7387
Sr 3.8684 3.1434 3.0848
Sr -2.2102 2.2385 4.9463

8.
6
Lattice="-2.9594 -7.6976 -2.2045 0.1083 -8.4878 0.9033 -7.6412 -2.1512 6.9958" Properties=species:S:1:pos:R:3 comment="Ba5Sr | Alexandria via LeMat-Bulk | PBE | optimized geometry" ef_kj_per_mol_atoms=1 dft_energy_ev_per_fu=-11.21 magnetic_moment_mub_per_atom=0.00 spacegroup="No. 8" pbc="T T T"
Ba -10.4861 -18.3156 5.6938
Ba -3.4861 -6.1090 1.8878
Ba -7.0125 -12.2483 3.8077
Ba -3.8482 -10.5079 1.1267
Ba -7.3780 -16.5782 3.0675
Sr -8.0099 -6.5311 6.2460

9.
4
Lattice="-8.8594 7.0553 -1.1311 -10.2224 4.1915 -2.7349 -10.4190 4.5112 0.7993" Properties=species:S:1:pos:R:3 comment="BaSrTa2 | Alexandria via LeMat-Bulk | PBE | optimized geometry" ef_kj_per_mol_atoms=84 dft_energy_ev_per_fu=-23.84 magnetic_moment_mub_per_atom=0.00 spacegroup="No. 160" pbc="T T T"
Ba -15.2058 8.1222 -1.5807
Sr -21.6348 11.5563 -2.2490
Ta -29.0590 15.5219 -3.0208
Ta -7.8525 4.1944 -0.8163

10.
4
Lattice="-1.8536 -3.0047 -0.9716 2.6773 -2.0949 1.3705 -1.8247 -2.1006 9.9774" Properties=species:S:1:pos:R:3 comment="BaSrTa2 | Alexandria via LeMat-Bulk | PBE | optimized geometry" ef_kj_per_mol_atoms=54 dft_energy_ev_per_fu=-25.09 magnetic_moment_mub_per_atom=0.00 spacegroup="No. 6" pbc="T T T"
Ba 0.7387 -2.1052 5.1012
Sr -0.6363 -4.6411 8.6666
Ta 2.3612 -2.0937 1.9699
Ta -0.3609 -2.5527 1.6828

11.
4
Lattice="6.8283 -0.0119 -0.0018 3.2018 6.0311 0.0018 -4.0723 -4.5805 3.0101" Properties=species:S:1:pos:R:3 comment="BaSrTa2 | Alexandria via LeMat-Bulk | PBE | optimized geometry" ef_kj_per_mol_atoms=90 dft_energy_ev_per_fu=-23.57 magnetic_moment_mub_per_atom=0.00 spacegroup="No. 44" pbc="T T T"
Ba 5.2733 3.1646 0.0000
Sr 1.8315 2.0856 1.5060
Ta 9.5820 5.7503 0.0000
Ta 4.3160 -0.5330 1.5042

12.
4
Lattice="6.8161 0.0025 0.0101 -2.7318 5.8359 -0.0057 1.3525 0.6497 2.6757" Properties=species:S:1:pos:R:3 comment="BaSrTa2 | Alexandria via LeMat-Bulk | PBE | optimized geometry" ef_kj_per_mol_atoms=122 dft_energy_ev_per_fu=-22.24 magnetic_moment_mub_per_atom=0.00 spacegroup="No. 12" pbc="T T T"
Ba -0.6897 3.2428 1.3350
Sr 2.0422 2.9192 0.0022
Ta 0.0000 0.0000 0.0000
Ta 4.0843 0.3261 1.3429

13.
4
Lattice="-3.9712 4.0038 4.2921 -3.1851 -5.5565 -3.1558 -0.2492 -2.2646 2.7989" Properties=species:S:1:pos:R:3 comment="BaSr2Ta | Alexandria via LeMat-Bulk | PBE | optimized geometry" ef_kj_per_mol_atoms=96 dft_energy_ev_per_fu=-13.15 magnetic_moment_mub_per_atom=0.62 spacegroup="No. 12" pbc="T T T"
Ba -3.5782 -0.7764 0.5681
Sr 0.0000 0.0000 0.0000
Sr -2.1102 0.8696 3.5455
Ta -1.7172 -3.9106 -0.1785

14.
4
Lattice="5.3687 0.0000 0.0000 0.0000 5.4746 0.0000 0.0000 0.0000 5.4746" Properties=species:S:1:pos:R:3 comment="BaSr2Ta | Alexandria via LeMat-Bulk | PBE | optimized geometry" ef_kj_per_mol_atoms=93 dft_energy_ev_per_fu=-13.29 magnetic_moment_mub_per_atom=0.76 spacegroup="No. 123" pbc="T T T"
Ba 2.6844 0.0000 2.7373
Sr 0.0000 0.0000 0.0000
Sr 0.0000 2.7373 2.7373
Ta 2.6844 2.7373 0.0000

15.
4
Lattice="3.9801 0.0000 0.0000 0.0000 3.9801 0.0000 0.0000 0.0000 10.4577" Properties=species:S:1:pos:R:3 comment="BaSr2Ta | Alexandria via LeMat-Bulk | PBE | optimized geometry" ef_kj_per_mol_atoms=80 dft_energy_ev_per_fu=-13.81 magnetic_moment_mub_per_atom=0.54 spacegroup="No. 99" pbc="T T T"
Ba 1.9901 1.9901 7.2144
Sr 0.0000 0.0000 0.0841
Sr 1.9901 1.9901 3.2264
Ta 0.0000 0.0000 5.1616

16.
4
Lattice="-0.1839 -4.4458 -1.9441 2.9646 -3.7106 -1.0104 -1.4617 -3.9512 8.0404" Properties=species:S:1:pos:R:3 comment="BaSrTa2 | Alexandria via LeMat-Bulk | PBE | optimized geometry" ef_kj_per_mol_atoms=75 dft_energy_ev_per_fu=-24.20 magnetic_moment_mub_per_atom=0.02 spacegroup="No. 8" pbc="T T T"
Ba 0.5323 -6.2991 3.1652
Sr 0.4839 -2.7871 0.5629
Ta -1.3146 -3.6679 7.3212
Ta 0.8152 -9.3584 4.6201

17.
4
Lattice="12.9175 0.0022 0.0013 12.3900 3.6537 0.0013 12.3900 1.7899 3.1853" Properties=species:S:1:pos:R:3 comment="BaSr2Ta | Alexandria via LeMat-Bulk | PBE | optimized geometry" ef_kj_per_mol_atoms=84 dft_energy_ev_per_fu=-13.64 magnetic_moment_mub_per_atom=0.00 spacegroup="No. 166" pbc="T T T"
Ba 28.2732 4.0843 2.3909
Sr 37.1347 5.3645 3.1403
Sr 19.4117 2.8042 1.6415
Ta 9.4244 1.3614 0.7970

18.
4
Lattice="-2.8701 11.4885 2.7084 -5.5278 10.1100 3.8458 -2.9200 10.3262 5.6923" Properties=species:S:1:pos:R:3 comment="BaSrTa2 | Alexandria via LeMat-Bulk | PBE | optimized geometry" ef_kj_per_mol_atoms=126 dft_energy_ev_per_fu=-22.07 magnetic_moment_mub_per_atom=0.02 spacegroup="No. 166" pbc="T T T"
Ba -2.8295 7.9812 3.0616
Sr -8.4884 23.9436 9.1849
Ta -0.0322 0.0908 0.0348
Ta -5.6268 15.8717 6.0885

19.
4
Lattice="3.9930 0.0000 0.0000 0.0000 3.9886 0.0000 0.0000 0.0000 10.4655" Properties=species:S:1:pos:R:3 comment="BaSr2Ta | Alexandria via LeMat-Bulk | PBE | optimized geometry" ef_kj_per_mol_atoms=82 dft_energy_ev_per_fu=-13.75 magnetic_moment_mub_per_atom=0.54 spacegroup="No. 123" pbc="T T T"
Ba 1.9965 1.9943 7.8492
Sr 0.0000 0.0000 0.6881
Sr 0.0000 0.0000 4.5447
Ta 1.9965 1.9943 2.6164

20.
4
Lattice="4.3111 0.0000 0.0000 0.0000 4.3539 0.0000 0.0000 0.0000 5.6217" Properties=species:S:1:pos:R:3 comment="BaSrTa2 | Alexandria via LeMat-Bulk | PBE | optimized geometry" ef_kj_per_mol_atoms=123 dft_energy_ev_per_fu=-22.21 magnetic_moment_mub_per_atom=0.00 spacegroup="No. 47" pbc="T T T"
Ba 2.1555 0.0000 2.8109
Sr 0.0000 2.1770 2.8109
Ta 0.0000 0.0000 0.0000
Ta 2.1555 2.1770 0.0000

21.
4
Lattice="-2.8723 5.7985 -0.3721 -5.5221 -0.5679 3.3460 6.0553 -1.4858 1.7713" Properties=species:S:1:pos:R:3 comment="BaSr2Ta | Alexandria via LeMat-Bulk | PBE | optimized geometry" ef_kj_per_mol_atoms=90 dft_energy_ev_per_fu=-13.42 magnetic_moment_mub_per_atom=0.89 spacegroup="No. 139" pbc="T T T"
Ba -0.5071 3.4640 1.4431
Sr 0.0000 0.0000 0.0000
Sr -4.1972 2.6153 1.4869
Ta -1.8320 0.2808 3.3021

22.
8
Lattice="5.0507 0.0000 0.0000 0.0000 5.0507 0.0000 2.5253 2.5253 12.1466" Properties=species:S:1:pos:R:3 comment="BaSr2Ta | Alexandria via LeMat-Bulk | PBE | optimized geometry" ef_kj_per_mol_atoms=122 dft_energy_ev_per_fu=-12.07 magnetic_moment_mub_per_atom=0.00 spacegroup="No. 122" pbc="T T T"
Sr 3.9208 1.2627 3.0366
Sr 1.1299 3.7880 3.0366
Sr 3.7880 3.6552 9.1099
Sr 6.3134 6.4461 9.1099
Ba 2.5253 2.5253 0.0000
Ba 2.5253 5.0507 6.0733
Ta 0.0000 0.0000 0.0000
Ta 5.0507 2.5253 6.0733

23.
4
Lattice="0.0000 4.2694 4.2694 4.2694 0.0000 4.2694 4.2694 4.2694 0.0000" Properties=species:S:1:pos:R:3 comment="BaSr2Ta | Alexandria via LeMat-Bulk | PBE | optimized geometry" ef_kj_per_mol_atoms=91 dft_energy_ev_per_fu=-13.38 magnetic_moment_mub_per_atom=0.87 spacegroup="No. 225" pbc="T T T"
Sr 2.1347 2.1347 2.1347
Sr 6.4042 6.4042 6.4042
Ba 0.0000 0.0000 0.0000
Ta 4.2694 4.2694 4.2694

24.
4
Lattice="1.7079 -1.8029 4.7824 -3.5070 -2.1630 3.4730 0.1146 -5.2941 0.9992" Properties=species:S:1:pos:R:3 comment="BaSrTa2 | Alexandria via LeMat-Bulk | PBE | optimized geometry" ef_kj_per_mol_atoms=166 dft_energy_ev_per_fu=-20.41 magnetic_moment_mub_per_atom=0.00 spacegroup="No. 225" pbc="T T T"
Sr 0.0000 0.0000 0.0000
Ba -0.8422 -4.6300 4.6273
Ta -0.4211 -2.3150 2.3137
Ta -1.2634 -6.9450 6.9410

25.
4
Lattice="5.3313 0.0000 0.0000 2.6657 4.6171 0.0000 2.6657 1.5390 4.3530" Properties=species:S:1:pos:R:3 comment="BaSrTa2 | Alexandria via LeMat-Bulk | PBE | optimized geometry" ef_kj_per_mol_atoms=119 dft_energy_ev_per_fu=-22.38 magnetic_moment_mub_per_atom=0.00 spacegroup="No. 216" pbc="T T T"
Ba 5.3313 3.0780 2.1765
Sr 7.9970 4.6171 3.2648
Ta 0.0000 0.0000 0.0000
Ta 2.6657 1.5390 1.0883

26.
4
Lattice="6.4666 -0.1102 0.0000 1.7635 6.2224 0.0000 -4.1151 -3.0561 3.9440" Properties=species:S:1:pos:R:3 comment="BaSr2Ta | Alexandria via LeMat-Bulk | PBE | optimized geometry" ef_kj_per_mol_atoms=91 dft_energy_ev_per_fu=-13.37 magnetic_moment_mub_per_atom=0.87 spacegroup="No. 119" pbc="T T T"
Ba 3.2333 -0.0551 1.9720
Sr 0.0000 0.0000 0.0000
Sr 0.8818 3.1112 1.9720
Ta 4.1150 3.0561 0.0000

27.
4
Lattice="-4.8905 -2.5872 -5.2858 -2.4970 -5.5371 -4.6535 -4.9165 -3.4895 2.3311" Properties=species:S:1:pos:R:3 comment="BaSr2Ta | Alexandria via LeMat-Bulk | PBE | optimized geometry" ef_kj_per_mol_atoms=85 dft_energy_ev_per_fu=-13.60 magnetic_moment_mub_per_atom=0.48 spacegroup="No. 12" pbc="T T T"
Ba -3.0760 -2.9035 -1.9021
Sr -5.0354 -3.7119 1.7438
Sr -6.0331 -5.5846 -3.2168
Ta -9.2280 -8.7104 -5.7062

28.
8
Lattice="8.9611 0.0000 0.0000 0.0000 8.9611 0.0000 4.4806 4.4806 2.9361" Properties=species:S:1:pos:R:3 comment="BaSrTa2 | Alexandria via LeMat-Bulk | PBE | optimized geometry" ef_kj_per_mol_atoms=168 dft_energy_ev_per_fu=-20.34 magnetic_moment_mub_per_atom=0.26 spacegroup="No. 122" pbc="T T T"
Sr 4.4806 4.4806 0.0000
Sr 4.4806 8.9611 1.4681
Ba 0.0000 0.0000 0.0000
Ba 8.9611 4.4806 1.4681
Ta 6.7477 2.2403 0.7340
Ta 2.2134 6.7208 0.7340
Ta 6.7208 6.6940 2.2021
Ta 11.2014 11.2283 2.2021